Here is a relaxed structure of TaRuSe from Alexandria. Energies are from PBE-GGA.

Structure (POSCAR):
```
TaRuSe
1.0
-0.166 -0.064 -4.279
2.482 -2.710 -2.199
-1.750 -3.343 -2.025
Ta Se Ru
1 1 1
Cartesian
0.283 -3.058 -4.251
0.000 0.000 0.000
0.424 -4.588 -6.377
```

Calculated values
Space group   F-43m (216)
Formation energy without anion corrections   -8 kJ/mol of formula units
Uncorrected energy   -24.70 eV per cell

***

Here is a relaxed structure of LaMo from Alexandria. Energies are from PBE-GGA.

Structure (POSCAR):
```
LaMo
1.0
3.349 0.000 0.000
-1.674 9.720 -0.005
1.674 -0.287 2.886
La Mo
2 2
Cartesian
0.000 6.974 0.694
0.000 0.244 0.024
3.349 2.587 2.200
1.674 4.344 1.404
```

Calculated values
Formation energy from the elements   11.24 kcal/mol of atoms
Space group   R-3m (166)
Uncorrected energy   -29.57 eV per cell

***

Which of these has the lowest uncorrected energy?
LaMo

***

Which of these has the lowest uncorrected energy?
LaMo